The following is a DFT calculation (PBE-GGA) of an optimized crystal structure of MgCr2Se.

Summary:
energy above the lowest structure with this stoichiometry: 0.2007 eV/atom
magnetization: 0.564 μB/f.u.

Unit cell a=4.5922 b=4.5922 c=4.5922 alpha=60.00 beta=60.00 gamma=60.00
Last column: nearest neighbours and their distance in Å.
Atoms (fractional coordinates):
Mg: 0.0000 0.0000 0.0000  4 Se 2.81, 4 Cr 2.81
Cr: 0.2500 0.2500 0.2500  4 Cr 2.81, 4 Mg 2.81
Cr: 0.5000 0.5000 0.5000  4 Cr 2.81, 4 Se 2.81
Se: 0.7500 0.7500 0.7500  4 Mg 2.81, 4 Cr 2.81